Record 1
Here is Sm4Er2In after structural relaxation from the Alexandria database. Energies are from PBE-GGA.

- Symmetry: No. 166
- DOS at the Fermi energy: 9.8 states/eV per cell
- ΔH_f (0 K): -0.072 eV/atom
- Magnetic moment: 0.0 μB/cell
- Calculated density: 7.795 g/cm3

abc: 3.6365 3.6365 19.6581
angles: 84.69 84.69 60.00
Atoms (fractional coordinates):
In  0.0000  0.0000  0.0000
Sm  0.9055  0.9055  0.2836
Sm  0.0945  0.0945  0.7164
Sm  0.7104  0.7104  0.8689
Sm  0.2896  0.2896  0.1311
Er  0.1902  0.1902  0.4295
Er  0.8098  0.8098  0.5705

Record 2
Here is Tb6CoRu2 after structural relaxation from the Alexandria database. Energies are from PBE-GGA.

- Symmetry: No. 14
- DOS at the Fermi energy: 11.8 states/eV per cell
- ΔH_f (0 K): -0.251 eV/atom
- Magnetic moment: 0.0 μB/cell
- Calculated density: 8.930 g/cm3

abc: 6.4849 7.3624 9.4639
angles: 90.00 88.66 90.00
Atoms (fractional coordinates):
Tb  0.8337  0.6791  0.5671
Tb  0.6604  0.1709  0.5684
Ru  0.5403  0.8811  0.7657
Ru  0.0403  0.6189  0.2657
Tb  0.6525  0.4549  0.2550
Tb  0.3337  0.8209  0.0671
Tb  0.8396  0.6709  0.9316
Tb  0.1525  0.0451  0.7550
Tb  0.3475  0.5451  0.7450
Ru  0.4597  0.1189  0.2343
Tb  0.8475  0.9549  0.2450
Co  0.5000  0.5000  0.0000
Co  0.0000  0.0000  0.5000
Tb  0.1604  0.3291  0.0684
Tb  0.1663  0.3209  0.4329
Tb  0.3396  0.8291  0.4316
Tb  0.6663  0.1791  0.9329
Ru  0.9597  0.3811  0.7343